AgB | PBE | optimized geometry

## Properties
The calculation puts the formation enthalpy at 0 K at 48.4 kJ/mol of atoms. For the excess energy over the best structure of this formula in the dataset, the calculation gives 0.125 eV/atom. Its symmetry is Pnma, No. 62. For the uncorrected energy, the calculation gives -4.263 eV/atom.

a = 7.8456 Å, b = 4.1162 Å, c = 6.7268 Å
α = 90.00°, β = 90.00°, γ = 90.00°
Last column: nearest neighbours and their distance in Å.
Fractional coordinates of all 16 atoms:
Ag 0.9383 0.2500 0.8484  2 B 2.32-2.58
Ag 0.5617 0.7500 0.3484  2 B 2.32-2.58
B 0.3459 0.7500 0.0588  2 B 1.64
B 0.6541 0.2500 0.9412  2 B 1.64
Ag 0.3044 0.2500 0.2552  5 B 2.36-2.52
B 0.0000 0.0000 0.5000  2 B 1.64
Ag 0.6956 0.7500 0.7448  5 B 2.36-2.52
Ag 0.1956 0.7500 0.7552  5 B 2.36-2.52
Ag 0.4383 0.2500 0.6516  2 B 2.32-2.58
B 0.8459 0.7500 0.4412  2 B 1.64
B 0.5000 0.5000 0.0000  2 B 1.64
Ag 0.0617 0.7500 0.1516  2 B 2.32-2.58
Ag 0.8044 0.2500 0.2448  5 B 2.36-2.52
B 0.1541 0.2500 0.5588  2 B 1.64
B 0.5000 0.0000 0.0000  2 B 1.64
B 0.0000 0.5000 0.5000  2 B 1.64